{
  "formula": "BeSi2Br",
  "functional": "PBE",
  "state": "relaxed",
  "cell": [[4.060, 0.000, 0.000], [0.000, 4.370, 0.003], [0.000, 1.820, 3.973]],
  "species": ["Br", "Si", "Si", "Be"],
  "frac_coords": [[0.500, 0.750, 0.750], [0.000, 0.422, 0.422], [0.000, 0.078, 0.078], [0.500, 0.250, 0.250]],
  "e_tot_ev_per_atom": -3.68,
  "volume_a3_per_fu": 70.47,
  "e_above_lowest_polymorph_ev_per_atom": 0.333,
  "formation_energy_uncorrected_ev_per_atom": 0.3809
}


{
  "formula": "TbEr5TmSc2",
  "functional": "PBE",
  "state": "relaxed",
  "cell": [[5.537, 0.000, 0.000], [-2.769, 10.598, 0.000], [0.000, 0.000, 9.253]],
  "species": ["Er", "Er", "Er", "Er", "Er", "Er", "Er", "Er", "Er", "Er", "Sc", "Sc", "Sc", "Sc", "Tm", "Tm", "Tb", "Tb"],
  "frac_coords": [[0.735, 0.470, 0.835], [0.989, 0.977, 0.513], [0.693, 0.386, 0.219], [0.469, 0.937, 0.748], [0.608, 0.216, 0.547], [0.307, 0.614, 0.719], [0.531, 0.063, 0.248], [0.011, 0.023, 0.013], [0.265, 0.530, 0.335], [0.392, 0.784, 0.047], [0.135, 0.271, 0.700], [0.865, 0.729, 0.200], [0.887, 0.774, 0.824], [0.113, 0.226, 0.324], [0.598, 0.196, 0.921], [0.402, 0.804, 0.421], [0.815, 0.630, 0.517], [0.185, 0.370, 0.017]],
  "e_tot_ev_per_atom": -4.78,
  "volume_a3_per_fu": 271.53,
  "ef_ev_per_atom": 0.169
}


{
  "formula": "TlCr2As",
  "functional": "PBE",
  "state": "relaxed",
  "cell": [[-0.758, -7.100, 1.065], [3.300, 0.607, 6.392], [-1.445, -2.753, 5.084]],
  "species": ["Tl", "Tl", "Cr", "Cr", "Cr", "Cr", "As", "As"],
  "frac_coords": [[0.000, 0.000, 0.000], [0.750, 0.250, 0.500], [0.171, 0.625, 0.250], [0.375, 0.421, 0.750], [0.579, 0.125, 0.250], [0.875, 0.829, 0.750], [0.250, 0.750, 0.500], [0.500, 0.500, 0.000]],
  "e_tot_ev_per_atom": -6.02,
  "volume_a3_per_fu": 80.16,
  "e_above_lowest_polymorph_ev_per_atom": 0.281,
  "ef_ev_per_atom": 0.541
}


{
  "formula": "Gd2DyTl",
  "functional": "PBE",
  "state": "relaxed",
  "cell": [[5.493, 0.000, 0.000], [2.747, 4.757, 0.000], [2.747, 1.586, 4.485]],
  "species": ["Dy", "Gd", "Gd", "Tl"],
  "frac_coords": [[0.000, 0.000, 0.000], [0.750, 0.750, 0.750], [0.250, 0.250, 0.250], [0.500, 0.500, 0.500]],
  "e_tot_ev_per_atom": -8.86,
  "volume_a3_per_fu": 117.20,
  "e_above_lowest_polymorph_ev_per_atom": 0.140,
  "ef_ev_per_atom": -0.077
}


{
  "formula": "Sr2CuRh2",
  "functional": "PBE",
  "state": "relaxed",
  "cell": [[4.437, 0.000, 0.000], [0.000, 5.436, 0.000], [-2.219, -2.718, 4.696]],
  "species": ["Rh", "Rh", "Sr", "Sr", "Cu"],
  "frac_coords": [[0.500, 0.252, 0.000], [0.500, 0.748, 0.000], [0.804, 0.304, 0.608], [0.196, 0.696, 0.392], [0.000, 0.000, 0.000]],
  "e_tot_ev_per_atom": -4.65,
  "volume_a3_per_fu": 113.26,
  "e_above_lowest_polymorph_ev_per_atom": 0.000,
  "ef_ev_per_atom": -0.215
}


{
  "formula": "ScZnHRu2",
  "functional": "PBE",
  "state": "relaxed",
  "cell": [[4.046, 0.000, 0.000], [0.000, 4.046, 0.000], [0.000, 0.000, 3.845]],
  "species": ["Sc", "H", "Zn", "Ru", "Ru"],
  "frac_coords": [[0.500, 0.500, 0.500], [0.000, 0.000, 0.000], [0.000, 0.000, 0.500], [0.000, 0.500, 0.000], [0.500, 0.000, 0.000]],
  "e_tot_ev_per_atom": -6.05,
  "volume_a3_per_fu": 62.93,
  "e_above_lowest_polymorph_ev_per_atom": 0.083
}


{
  "formula": "Zr3MoRh",
  "functional": "PBE",
  "state": "relaxed",
  "cell": [[-0.144, 4.808, -1.216], [-4.864, -0.374, -0.906], [-0.970, 1.165, 4.725]],
  "species": ["Rh", "Zr", "Zr", "Zr", "Mo"],
  "frac_coords": [[0.000, 0.000, 0.000], [0.000, 0.000, 0.500], [0.000, 0.500, 0.000], [0.500, 0.000, 0.000], [0.500, 0.500, 0.500]],
  "e_tot_ev_per_atom": -8.06,
  "volume_a3_per_fu": 122.16,
  "e_above_lowest_polymorph_ev_per_atom": 0.000,
  "ef_ev_per_atom": 0.706
}


{
  "formula": "Sc3CdH",
  "functional": "PBE",
  "state": "relaxed",
  "cell": [[-3.633, 1.344, -3.687], [-0.355, -5.117, -1.515], [-3.908, -0.785, 3.565]],
  "species": ["Sc", "Sc", "Sc", "Cd", "H"],
  "frac_coords": [[0.500, 0.000, 0.000], [0.000, 0.500, 0.000], [0.000, 0.000, 0.500], [0.000, 0.000, 0.000], [0.500, 0.500, 0.500]],
  "e_tot_ev_per_atom": -3.62,
  "volume_a3_per_fu": 152.96,
  "e_above_lowest_polymorph_ev_per_atom": 1.296
}


{
  "formula": "K2Ba2As4Pd",
  "functional": "PBE",
  "state": "relaxed",
  "cell": [[7.098, -0.203, -0.321], [-3.037, 6.419, 0.321], [-3.037, -2.450, 5.942]],
  "species": ["As", "As", "As", "As", "K", "K", "Ba", "Ba", "Pd"],
  "frac_coords": [[0.000, 0.765, 0.235], [0.000, 0.235, 0.765], [0.470, 0.235, 0.235], [0.530, 0.765, 0.765], [0.000, 0.684, 0.684], [0.000, 0.316, 0.316], [0.500, 0.750, 0.250], [0.500, 0.250, 0.750], [0.000, 0.000, 0.000]],
  "e_tot_ev_per_atom": -3.85,
  "volume_a3_per_fu": 264.18,
  "ef_ev_per_atom": -0.537
}


{
  "formula": "SrZrW2",
  "functional": "PBE",
  "state": "relaxed",
  "cell": [[3.915, -0.024, 2.996], [0.202, 3.114, 3.817], [-0.430, -1.712, 4.603]],
  "species": ["W", "W", "Zr", "Sr"],
  "frac_coords": [[0.750, 0.750, 0.750], [0.250, 0.250, 0.250], [0.500, 0.500, 0.500], [0.000, 0.000, 0.000]],
  "e_tot_ev_per_atom": -7.75,
  "volume_a3_per_fu": 84.73,
  "e_above_lowest_polymorph_ev_per_atom": 0.762,
  "ef_ev_per_atom": 1.281
}


{
  "formula": "RbHg3Pd",
  "functional": "PBE",
  "state": "relaxed",
  "cell": [[14.945, 0.000, 1.865], [5.756, 6.652, -2.455], [-5.756, 6.652, 2.455]],
  "species": ["Pd", "Pd", "Pd", "Pd", "Hg", "Hg", "Hg", "Hg", "Hg", "Hg", "Hg", "Hg", "Hg", "Hg", "Hg", "Hg", "Rb", "Rb", "Rb", "Rb"],
  "frac_coords": [[0.250, 0.842, 0.342], [0.750, 0.491, 0.991], [0.250, 0.509, 0.009], [0.750, 0.158, 0.658], [0.570, 0.604, 0.548], [0.430, 0.396, 0.452], [0.142, 0.327, 0.884], [0.858, 0.673, 0.116], [0.070, 0.952, 0.896], [0.642, 0.616, 0.173], [0.017, 0.680, 0.007], [0.517, 0.493, 0.820], [0.358, 0.384, 0.827], [0.930, 0.048, 0.104], [0.983, 0.320, 0.993], [0.483, 0.507, 0.180], [0.131, 0.067, 0.598], [0.631, 0.902, 0.433], [0.369, 0.098, 0.567], [0.869, 0.933, 0.402]],
  "e_tot_ev_per_atom": -1.52,
  "volume_a3_per_fu": 157.75,
  "e_above_lowest_polymorph_ev_per_atom": 0.144,
  "ef_ev_per_atom": -0.112
}


{
  "formula": "Hg2RhW",
  "functional": "PBE",
  "state": "relaxed",
  "cell": [[2.923, 0.000, 0.000], [0.000, 4.213, 0.000], [0.000, 0.000, 5.760]],
  "species": ["W", "Hg", "Hg", "Rh"],
  "frac_coords": [[0.500, 0.500, 0.500], [0.000, 0.000, 0.247], [0.000, 0.000, 0.753], [0.500, 0.500, 0.000]],
  "e_tot_ev_per_atom": -4.55,
  "volume_a3_per_fu": 70.94,
  "e_above_lowest_polymorph_ev_per_atom": 0.445,
  "ef_ev_per_atom": 0.676
}